(1)
The following is a DFT calculation (GGA-PBE) of a geometry-optimized CaLaPr6Er2 structure.

Structure (POSCAR):
```
CaLaPr6Er2
1.0
-8.470 -0.087 -5.115
-3.894 -3.216 7.596
1.038 9.028 -0.781
La Pr Er Ca
2 12 4 2
Cartesian
-8.241 1.696 0.354
-3.084 4.029 1.345
-5.247 4.876 -3.742
-3.258 2.168 4.362
-6.442 4.735 0.018
-6.078 0.849 5.441
-4.884 0.989 1.681
-3.642 -1.610 3.282
-0.123 6.436 0.021
-7.683 7.334 -1.583
-11.203 -0.712 1.678
-3.819 7.149 -1.112
-7.507 -1.425 2.812
-8.067 3.556 -2.662
-6.252 3.693 3.239
-5.073 2.031 -1.540
-1.353 0.798 1.892
-9.973 4.927 -0.192
-5.866 -2.876 6.069
-5.460 8.601 -4.370
```

Computed properties:
Uncorrected energy (eV per formula unit): -43.56
Size of the total moment (μB per cell): 0.00
Formation enthalpy at 0 K (eV per atom): 0.117
SG: C2/c, No. 15


(2)
The following is a DFT calculation (GGA-PBE) of a geometry-optimized SmEr12Th6 structure.

Structure (POSCAR):
```
SmEr12Th6
1.0
-8.413 -3.475 -1.765
5.039 -0.966 -7.723
3.876 -5.368 6.490
Er Th Sm
12 6 1
Cartesian
-0.758 -1.913 -2.516
-4.520 -4.169 -4.703
5.473 -3.931 -3.812
-4.971 -5.878 0.814
-1.034 -2.959 0.860
5.022 -5.640 1.706
-0.201 -6.614 4.019
1.536 -6.850 -3.858
2.162 -2.363 -0.555
0.702 -3.195 -7.016
-1.660 -7.446 -2.442
1.260 -7.896 -0.481
3.518 -5.274 -1.346
1.630 -5.251 1.470
2.070 -3.586 -3.905
-1.129 -4.558 -4.467
-3.017 -4.535 -1.652
-1.568 -6.223 0.907
0.000 0.000 0.000
```

Computed properties:
Uncorrected energy (eV per formula unit): -94.06
Size of the total moment (μB per cell): 0.00
Formation enthalpy at 0 K (eV per atom): 0.523
SG: R-3m, No. 166


(3)
The following is a DFT calculation (GGA-PBE) of a geometry-optimized ZrAl4Si2 structure.

Structure (POSCAR):
```
ZrAl4Si2
1.0
-2.159 -0.465 3.167
1.548 -3.074 -1.750
9.874 1.053 6.886
Al Si Zr
4 2 1
Cartesian
1.679 -1.058 3.343
7.481 -0.439 7.390
9.570 1.020 6.675
4.572 0.487 3.189
3.839 -1.829 2.348
-0.340 -1.273 1.935
6.957 0.742 4.852
```

Computed properties:
Uncorrected formation energy (eV/atom): 0.324
Uncorrected energy (eV per formula unit): -32.10
Size of the total moment (μB per cell): 0.00
SG: P3m1, No. 156
Excess energy over the best structure of this formula in the dataset (meV per atom): 466


(4)
The following is a DFT calculation (GGA-PBE) of a geometry-optimized Al6ZnGa12 structure.

Structure (POSCAR):
```
Al6ZnGa12
1.0
7.114 0.119 -2.011
-2.687 6.588 -2.011
0.078 0.119 7.392
Al Ga Zn
6 12 1
Cartesian
2.498 0.807 0.972
3.640 4.211 3.875
4.406 5.002 1.248
0.865 2.614 -0.505
0.098 1.823 2.122
2.007 6.018 2.398
1.818 5.320 -0.208
3.525 3.062 -0.695
-0.802 4.584 -1.401
5.307 2.242 4.771
4.570 5.761 -1.371
0.979 3.763 4.065
4.832 0.358 -0.374
-0.327 6.467 3.745
4.768 2.380 1.803
-0.066 1.064 4.741
2.686 1.506 3.578
-0.263 4.445 1.567
0.000 0.000 0.000
```

Computed properties:
Uncorrected energy (eV per formula unit): -58.96
Size of the total moment (μB per cell): 0.00
Formation enthalpy at 0 K (eV per atom): 0.057
SG: R-3, No. 148


(5)
The following is a DFT calculation (GGA-PBE) of a geometry-optimized SrNp2RhN4 structure.

Structure (POSCAR):
```
SrNp2RhN4
1.0
3.471 0.000 0.000
-1.736 5.796 0.000
0.000 0.000 11.800
N Np Rh Sr
8 4 2 2
Cartesian
0.000 0.000 5.900
0.000 3.003 1.094
1.736 0.775 2.950
0.000 3.003 4.806
1.736 2.793 6.994
0.000 5.021 8.850
1.736 2.793 10.706
0.000 0.000 0.000
1.736 1.511 5.239
0.000 4.284 11.139
0.000 4.284 6.561
1.736 1.511 0.661
1.736 3.859 8.850
0.000 1.937 2.950
1.736 4.647 2.950
0.000 1.149 8.850
```

Computed properties:
Uncorrected formation energy (eV/atom): -0.832
Uncorrected energy (eV per formula unit): -74.87
Size of the total moment (μB per cell): 7.76
SG: Cmcm, No. 63


(6)
The following is a DFT calculation (GGA-PBE) of a geometry-optimized Pu2ZnPt3 structure.

Structure (POSCAR):
```
Pu2ZnPt3
1.0
4.906 -0.175 -1.845
-0.271 2.717 -0.979
-1.238 1.502 8.809
Pt Pu Zn
3 2 1
Cartesian
3.424 3.179 3.575
-0.027 0.866 2.411
2.453 -0.087 -0.922
2.341 2.187 1.122
1.055 1.858 4.864
0.000 0.000 0.000
```

Computed properties:
Uncorrected energy (eV per formula unit): -51.02
Size of the total moment (μB per cell): 10.88
Formation enthalpy at 0 K (eV per atom): -0.494
SG: C2/m, No. 12
Excess energy over the best structure of this formula in the dataset (meV per atom): 303


(7)
The following is a DFT calculation (GGA-PBE) of a geometry-optimized La3PmDyEr structure.

Structure (POSCAR):
```
La3PmDyEr
1.0
3.664 0.000 0.000
0.000 10.944 0.739
0.000 -4.374 10.055
La Dy Pm Er
6 2 2 2
Cartesian
2.748 9.399 1.114
0.916 -2.829 9.680
0.916 4.887 5.088
2.748 3.192 2.370
2.748 1.682 5.707
0.916 3.378 8.425
2.748 6.546 7.738
0.916 0.023 3.056
0.916 6.321 1.749
2.748 0.248 9.045
0.916 -1.414 6.340
2.748 7.983 4.455
```

Computed properties:
Uncorrected energy (eV per formula unit): -28.55
Size of the total moment (μB per cell): 0.00
Formation enthalpy at 0 K (eV per atom): 0.024
SG: P2_1/m, No. 11


(8)
The following is a DFT calculation (GGA-PBE) of a geometry-optimized MgZnNi2Au structure.

Structure (POSCAR):
```
MgZnNi2Au
1.0
-1.421 2.942 -3.451
1.568 -3.145 -3.327
-4.266 -2.095 -0.030
Ni Zn Au Mg
2 1 1 1
Cartesian
-0.711 1.471 -1.725
-2.133 -1.048 -0.015
-2.060 -1.149 -3.404
0.000 0.000 0.000
0.784 -1.573 -1.664
```

Computed properties:
Uncorrected energy (eV per formula unit): -13.79
Size of the total moment (μB per cell): 0.79
Formation enthalpy at 0 K (eV per atom): 0.783
SG: P4/mmm, No. 123